This record from Alexandria via LeMat-Bulk describes a relaxed structure of NiPNO2. The functional is PBE with a Hubbard U.

Summary:
The mass density comes out at 3.8 g/cm³. The value obtained for the raw total energy is -4.148 eV/atom. As for the space group: P4/mmm (123).

POSCAR file:
```
NiPNO2
1.0
-1.5025 -0.7935 2.9949
3.0785 -0.7580 1.3436
0.5040 4.7052 1.4995
O P N Ni
2 1 1 1
direct
0.5000 0.0000 0.0000
0.0000 0.5000 0.0000
0.0000 0.0000 0.5000
0.5000 0.5000 0.5000
0.0000 0.0000 0.0000
```